Here is a relaxed CsYCl3 crystal from Alexandria via LeMat-Bulk. Energies are from GGA-PBE.

The total energy comes out at -4.33 eV per atom. As for the total magnetization: 0.7 μB/cell. Its density of states at the Fermi level is 8.51 states/eV per cell. As for the uncorrected formation energy: -1757.4 meV per atom.

The space group is Amm2 (No. 38) and the conventional cell measures 4.113, 7.205 and 16.938 Å, with angles of 90.00, 90.00 and 90.00 degrees. The inequivalent atoms are Cs at (0.000, 0.000, 0.000), Y at (0.500, 0.000, 0.690), Cl at (0.000, 0.243, 0.675) and Cl at (0.500, 0.000, 0.842).